Computed, not measured: a geometry-optimized Th4Si2AsSe structure at the PBE-GGA level of DFT.

Computed properties:
Its electronic total energy is -7.195 eV per atom. As for the total magnetization: 0.000 μB/f.u. Its symmetry is I4/mmm (139).

a b c (Å): 6.0088 6.0088 7.3614
angles (deg): 114.09 114.09 90.00
Last column: nearest neighbours and their distance in Å.
Fractional coordinates of all 8 atoms:
Th 0.9371 0.4373 0.0000  2 Se 3.00, 2 As 3.00, 2 Si 3.01
Th 0.4373 0.9371 0.0000  2 Se 3.00, 2 As 3.00, 2 Si 3.01
Th 0.1902 0.1902 0.5061  1 As 2.97, 4 Si 3.00-3.01, 1 Se 3.04
Th 0.6841 0.6841 0.4939  1 As 2.97, 4 Si 3.00-3.01, 1 Se 3.04
Si 0.1871 0.6871 0.5000  6 Th 3.00-3.01
Si 0.6871 0.1871 0.5000  6 Th 3.00-3.01
As 0.4371 0.4371 0.0000  6 Th 2.97-3.00
Se 0.9373 0.9373 0.0000  6 Th 3.00-3.04